Record 1
Compound: Au3Br4
Source: Alexandria
Functional: PBE
Structure: optimized geometry

Geometry as CIF:
```
data_Au3Br4
_space_group_name_H-M_alt 'P 6/m m m'
_space_group_IT_number 191
_space_group_name_Hall '-P 6 2'
_cell_length_a 6.1032
_cell_length_b 6.1032
_cell_length_c 5.1411
_cell_angle_alpha 90.00
_cell_angle_beta 90.00
_cell_angle_gamma 120.00
loop_
_atom_site_label
_atom_site_type_symbol
_atom_site_fract_x
_atom_site_fract_y
_atom_site_fract_z
_atom_site_occupancy
Au1 Au 0.0000 0.5000 0.0000 1
Br1 Br 0.0000 0.0000 0.2533 1
Br2 Br 0.3333 0.6667 0.5000 1
```

Results
formation energy (no corrections)	0.39	eV/atom

Record 2
Compound: Ga2IrPb
Source: Alexandria
Functional: PBE
Structure: optimized geometry

Geometry as CIF:
```
data_Ga2IrPb
_space_group_name_H-M_alt 'I -4 2 d'
_space_group_IT_number 122
_space_group_name_Hall 'I -4 2bw'
_cell_length_a 7.934
_cell_length_b 7.934
_cell_length_c 5.549
_cell_angle_alpha 90.00
_cell_angle_beta 90.00
_cell_angle_gamma 90.00
loop_
_atom_site_label
_atom_site_type_symbol
_atom_site_fract_x
_atom_site_fract_y
_atom_site_fract_z
_atom_site_occupancy
Ga1 Ga 0.178 0.250 0.125 1
Ir1 Ir 0.000 0.000 0.000 1
Pb1 Pb 0.000 0.000 0.500 1
```

Results
ΔE_f	0.137	eV/atom

Record 3
Compound: Re3AsF
Source: Alexandria
Functional: PBE
Structure: optimized geometry

Geometry as CIF:
```
data_Re3AsF
_space_group_name_H-M_alt 'P m -3 m'
_space_group_IT_number 221
_space_group_name_Hall '-P 4 2 3'
_cell_length_a 4.269
_cell_length_b 4.269
_cell_length_c 4.269
_cell_angle_alpha 90.00
_cell_angle_beta 90.00
_cell_angle_gamma 90.00
loop_
_atom_site_label
_atom_site_type_symbol
_atom_site_fract_x
_atom_site_fract_y
_atom_site_fract_z
_atom_site_occupancy
Re1 Re 0.000 0.000 0.500 1
As1 As 0.500 0.500 0.500 1
F1 F 0.000 0.000 0.000 1
```

Results
relative energy among the computed polymorphs	0.00	eV/f.u.
formation energy (no corrections)	1.64	eV/atom

Record 4
Compound: FeAsAu2
Source: Alexandria
Functional: PBE
Structure: optimized geometry

Geometry as CIF:
```
data_FeAsAu2
_space_group_name_H-M_alt 'R 3 m'
_space_group_IT_number 160
_space_group_name_Hall 'R 3 -2"'
_cell_length_a 2.9621
_cell_length_b 2.9621
_cell_length_c 26.7035
_cell_angle_alpha 90.00
_cell_angle_beta 90.00
_cell_angle_gamma 120.00
loop_
_atom_site_label
_atom_site_type_symbol
_atom_site_fract_x
_atom_site_fract_y
_atom_site_fract_z
_atom_site_occupancy
Fe1 Fe 0.0000 0.0000 0.0000 1
As1 As 0.0000 0.0000 0.7292 1
Au1 Au 0.0000 0.0000 0.2546 1
Au2 Au 0.0000 0.0000 0.4961 1
```

Results
ΔE_f	0.137	eV/atom

Record 5
Compound: TaMn3P
Source: Alexandria
Functional: PBE
Structure: optimized geometry

Geometry as CIF:
```
data_TaMn3P
_space_group_name_H-M_alt 'P m -3 m'
_space_group_IT_number 221
_space_group_name_Hall '-P 4 2 3'
_cell_length_a 4.660
_cell_length_b 4.660
_cell_length_c 4.660
_cell_angle_alpha 90.00
_cell_angle_beta 90.00
_cell_angle_gamma 90.00
loop_
_atom_site_label
_atom_site_type_symbol
_atom_site_fract_x
_atom_site_fract_y
_atom_site_fract_z
_atom_site_occupancy
Ta1 Ta 0.000 0.000 0.000 1
Mn1 Mn 0.000 0.000 0.500 1
P1 P 0.500 0.500 0.500 1
```

Results
relative energy among the computed polymorphs	6.65	eV/f.u.
ΔE_f	1.541	eV/atom

Record 6
Compound: MgSnOsO6
Source: Alexandria
Functional: PBE
Structure: optimized geometry

Geometry as CIF:
```
data_MgSnOsO6
_space_group_name_H-M_alt 'P -3 1 c'
_space_group_IT_number 163
_space_group_name_Hall '-P 3 2c'
_cell_length_a 5.2780
_cell_length_b 5.2780
_cell_length_c 8.9122
_cell_angle_alpha 90.00
_cell_angle_beta 90.00
_cell_angle_gamma 120.00
loop_
_atom_site_label
_atom_site_type_symbol
_atom_site_fract_x
_atom_site_fract_y
_atom_site_fract_z
_atom_site_occupancy
Mg1 Mg 0.0000 0.0000 0.0000 1
Sn1 Sn 0.3333 0.6667 0.2500 1
Os1 Os 0.3333 0.6667 0.7500 1
O1 O 0.0255 0.3600 0.6311 1
```

Results
formation energy (no corrections)	-1.47	eV/atom

Record 7
Compound: HfNi8H6
Source: Alexandria
Functional: PBE
Structure: optimized geometry

Geometry as CIF:
```
data_HfNi8H6
_space_group_name_H-M_alt 'R -3'
_space_group_IT_number 148
_space_group_name_Hall '-R 3'
_cell_length_a 4.6366
_cell_length_b 4.6366
_cell_length_c 19.4154
_cell_angle_alpha 90.00
_cell_angle_beta 90.00
_cell_angle_gamma 120.00
loop_
_atom_site_label
_atom_site_type_symbol
_atom_site_fract_x
_atom_site_fract_y
_atom_site_fract_z
_atom_site_occupancy
Hf1 Hf 0.0000 0.0000 0.0000 1
Ni1 Ni 0.0000 0.0000 0.3367 1
Ni2 Ni 0.0013 0.3399 0.4470 1
H1 H 0.0095 0.6578 0.0743 1
```

Results
uncorrected energy	-234.35	eV/cell

Record 8
Compound: Si2Ru2Au
Source: Alexandria
Functional: PBE
Structure: optimized geometry

Geometry as CIF:
```
data_Si2Ru2Au
_space_group_name_H-M_alt 'P 4/m b m'
_space_group_IT_number 127
_space_group_name_Hall '-P 4 2ab'
_cell_length_a 7.071
_cell_length_b 7.071
_cell_length_c 2.886
_cell_angle_alpha 90.00
_cell_angle_beta 90.00
_cell_angle_gamma 90.00
loop_
_atom_site_label
_atom_site_type_symbol
_atom_site_fract_x
_atom_site_fract_y
_atom_site_fract_z
_atom_site_occupancy
Si1 Si 0.149 0.351 0.000 1
Ru1 Ru 0.145 0.645 0.500 1
Au1 Au 0.000 0.000 0.500 1
```

Results
relative energy among the computed polymorphs	0.27	eV/f.u.
formation energy (no corrections)	-0.31	eV/atom

Record 9
Compound: SrSm4Ag5
Source: Alexandria
Functional: PBE
Structure: optimized geometry

Geometry as CIF:
```
data_SrSm4Ag5
_space_group_name_H-M_alt 'P 4/m m m'
_space_group_IT_number 123
_space_group_name_Hall '-P 4 2'
_cell_length_a 3.736
_cell_length_b 3.736
_cell_length_c 18.977
_cell_angle_alpha 90.00
_cell_angle_beta 90.00
_cell_angle_gamma 90.00
loop_
_atom_site_label
_atom_site_type_symbol
_atom_site_fract_x
_atom_site_fract_y
_atom_site_fract_z
_atom_site_occupancy
Sr1 Sr 0.000 0.000 0.000 1
Sm1 Sm 0.000 0.000 0.206 1
Sm2 Sm 0.000 0.000 0.403 1
Ag1 Ag 0.500 0.500 0.116 1
Ag2 Ag 0.500 0.500 0.304 1
Ag3 Ag 0.500 0.500 0.500 1
```

Results
ΔE_f	-0.273	eV/atom

Record 10
Compound: Dy3Zn3Ga2
Source: Alexandria
Functional: PBE
Structure: optimized geometry

Geometry as CIF:
```
data_Dy3Zn3Ga2
_space_group_name_H-M_alt 'C m c m'
_space_group_IT_number 63
_space_group_name_Hall '-C 2c 2'
_cell_length_a 4.377
_cell_length_b 10.508
_cell_length_c 14.617
_cell_angle_alpha 90.00
_cell_angle_beta 90.00
_cell_angle_gamma 90.00
loop_
_atom_site_label
_atom_site_type_symbol
_atom_site_fract_x
_atom_site_fract_y
_atom_site_fract_z
_atom_site_occupancy
Dy1 Dy 0.000 0.093 0.108 1
Dy2 Dy 0.000 0.371 0.250 1
Zn1 Zn 0.000 0.342 0.750 1
Zn2 Zn 0.000 0.386 0.036 1
Ga1 Ga 0.000 0.201 0.603 1
```

Results
ΔE_f	-0.487	eV/atom

Record 11
Compound: ZnCo2Sn
Source: Alexandria
Functional: PBE
Structure: optimized geometry

Geometry as CIF:
```
data_ZnCo2Sn
_space_group_name_H-M_alt 'I -4 2 d'
_space_group_IT_number 122
_space_group_name_Hall 'I -4 2bw'
_cell_length_a 6.796
_cell_length_b 6.796
_cell_length_c 5.296
_cell_angle_alpha 90.00
_cell_angle_beta 90.00
_cell_angle_gamma 90.00
loop_
_atom_site_label
_atom_site_type_symbol
_atom_site_fract_x
_atom_site_fract_y
_atom_site_fract_z
_atom_site_occupancy
Zn1 Zn 0.000 0.000 0.000 1
Co1 Co 0.236 0.750 0.125 1
Sn1 Sn 0.000 0.000 0.500 1
```

Results
ΔE_f	0.445	eV/atom

Record 12
Compound: TiSi2Se4
Source: Alexandria
Functional: PBE
Structure: optimized geometry

Geometry as CIF:
```
data_TiSi2Se4
_space_group_name_H-M_alt 'I 4/m'
_space_group_IT_number 87
_space_group_name_Hall '-I 4'
_cell_length_a 7.357
_cell_length_b 7.357
_cell_length_c 6.430
_cell_angle_alpha 90.00
_cell_angle_beta 90.00
_cell_angle_gamma 90.00
loop_
_atom_site_label
_atom_site_type_symbol
_atom_site_fract_x
_atom_site_fract_y
_atom_site_fract_z
_atom_site_occupancy
Ti1 Ti 0.000 0.000 0.000 1
Si1 Si 0.000 0.500 0.250 1
Se1 Se 0.172 0.687 0.000 1
```

Results
formation energy (no corrections)	-0.14	eV/atom